1.
VASP calculation (PBEsol) on a relaxed structure of RbNbV2O8.

Computed properties:
calculated total energy: -8.498 eV/atom
ρ: 3.5 g cm⁻³
uncorrected formation energy: -2.405 eV/atom
crystal system: orthorhombic
spin magnetization: 0.0 μB/cell

Lattice parameters (Å, degrees): 5.618 9.141 14.988 90.00 90.00 90.00
Fractional coordinates of all 48 atoms:
V: 0.750 0.185 0.560
V: 0.250 0.815 0.440
V: 0.250 0.245 0.336
V: 0.750 0.755 0.664
V: 0.750 0.745 0.164
V: 0.250 0.255 0.836
V: 0.250 0.685 0.940
V: 0.750 0.315 0.060
O: 0.250 0.587 0.039
O: 0.501 0.355 0.805
O: 0.503 0.642 0.877
O: 0.499 0.645 0.195
O: 0.750 0.360 0.540
O: 0.750 0.087 0.461
O: 0.750 0.413 0.961
O: 0.750 0.140 0.040
O: 0.750 0.584 0.718
O: 0.497 0.358 0.123
O: 0.499 0.855 0.695
O: 0.001 0.645 0.195
O: 0.750 0.729 0.557
O: 0.003 0.142 0.623
O: 0.750 0.771 0.057
O: 0.001 0.855 0.695
O: 0.003 0.358 0.123
O: 0.501 0.145 0.305
O: 0.250 0.860 0.960
O: 0.250 0.640 0.460
O: 0.250 0.229 0.943
O: 0.997 0.642 0.877
O: 0.750 0.916 0.218
O: 0.250 0.271 0.443
O: 0.503 0.858 0.377
O: 0.250 0.084 0.782
O: 0.997 0.858 0.377
O: 0.250 0.416 0.282
O: 0.250 0.913 0.539
O: 0.497 0.142 0.623
O: 0.999 0.145 0.305
O: 0.999 0.355 0.805
Nb: 0.250 0.000 0.661
Nb: 0.750 0.000 0.339
Nb: 0.750 0.500 0.839
Nb: 0.250 0.500 0.161
Rb: 0.250 0.063 0.106
Rb: 0.750 0.937 0.894
Rb: 0.750 0.563 0.394
Rb: 0.250 0.437 0.606


2.
VASP calculation (PBEsol) on a relaxed structure of NaSbPO2.

Computed properties:
calculated total energy: -3.858 eV/atom
ρ: 4.3 g cm⁻³
uncorrected formation energy: 0.591 eV/atom
crystal system: tetragonal
spin magnetization: 2.0 μB/cell

Lattice parameters (Å, degrees): 4.035 4.035 4.923 90.00 90.00 90.00
Last column: magnetic moment on the atom in μB.
Fractional coordinates of all 5 atoms:
P: 0.000 0.000 0.500  0.20
Na: 0.000 0.000 0.000  0.01
O: 0.000 0.500 0.000  0.70
O: 0.500 0.000 0.000  0.70
Sb: 0.500 0.500 0.500  -0.04